No. 1
Nd2ZnAu2 (GGA-PBE, relaxed); magnetic moment = 0.000 μB/f.u.; raw total energy = -20.7 eV per formula unit; E_form = -0.668 eV/atom
1.0
5.418 -2.232 0.000
5.418 2.232 0.000
-4.853 0.000 9.997
Nd Zn Au
4 2 4
direct
0.015 0.015 0.342 Nd
0.188 0.188 0.110 Nd
0.812 0.812 0.890 Nd
0.985 0.985 0.658 Nd
0.282 0.282 0.657 Zn
0.718 0.718 0.343 Zn
0.351 0.351 0.429 Au
0.473 0.473 0.118 Au
0.527 0.527 0.882 Au
0.649 0.649 0.571 Au



No. 2
Pm12Sm2Ho5 (GGA-PBE, relaxed); magnetic moment = 0.000 μB/f.u.; raw total energy = -86.9 eV per formula unit; offset from the most stable computed form = 4.1 meV per atom; E_form = 0.129 eV/atom
1.0
7.991 -5.036 0.000
7.991 5.036 0.000
-0.159 0.000 8.030
Pm Sm Ho
12 2 5
direct
0.052 0.052 0.211 Pm
0.080 0.538 0.708 Pm
0.120 0.668 0.112 Pm
0.332 0.880 0.888 Pm
0.342 0.342 0.377 Pm
0.462 0.920 0.292 Pm
0.538 0.080 0.708 Pm
0.658 0.658 0.623 Pm
0.668 0.120 0.112 Pm
0.880 0.332 0.888 Pm
0.920 0.462 0.292 Pm
0.948 0.948 0.789 Pm
0.270 0.730 0.500 Sm
0.730 0.270 0.500 Sm
0.148 0.148 0.582 Ho
0.253 0.253 0.012 Ho
0.500 0.500 0.000 Ho
0.747 0.747 0.988 Ho
0.852 0.852 0.418 Ho



No. 3
ScU3Pt12 (GGA-PBE, relaxed); magnetic moment = 5.216 μB/f.u.; raw total energy = -125.8 eV per formula unit; E_form = -0.817 eV/atom
1.0
4.127 0.000 0.000
0.000 4.127 0.000
0.000 0.000 16.456
Sc U Pt
1 3 12
direct
0.000 0.000 0.000 Sc
0.000 0.000 0.244 U
0.000 0.000 0.500 U
0.000 0.000 0.756 U
0.000 0.500 0.120 Pt
0.000 0.500 0.373 Pt
0.000 0.500 0.627 Pt
0.000 0.500 0.880 Pt
0.500 0.000 0.120 Pt
0.500 0.000 0.373 Pt
0.500 0.000 0.627 Pt
0.500 0.000 0.880 Pt
0.500 0.500 0.000 Pt
0.500 0.500 0.246 Pt
0.500 0.500 0.500 Pt
0.500 0.500 0.754 Pt



No. 4
Na2AgRhC (GGA-PBE, relaxed); magnetic moment = 0.000 μB/f.u.; raw total energy = -18.6 eV per formula unit; E_form = 0.684 eV/atom
1.0
5.639 0.000 0.000
0.000 5.639 0.000
0.000 0.000 3.735
Na Ag Rh C
2 1 1 1
direct
0.000 0.500 0.000 Na
0.500 0.000 0.000 Na
0.000 0.000 0.500 Ag
0.500 0.500 0.000 Rh
0.500 0.500 0.500 C



No. 5
La2Pm6DyEr3 (GGA-PBE, relaxed); magnetic moment = 0.000 μB/f.u.; raw total energy = -56.4 eV per formula unit; E_form = 0.021 eV/atom
1.0
3.142 -5.445 0.000
3.142 5.445 0.000
-2.098 0.000 11.796
La Pm Dy Er
2 6 1 3
direct
0.167 0.833 0.000 La
0.833 0.167 0.000 La
0.083 0.415 0.745 Pm
0.253 0.253 0.255 Pm
0.415 0.083 0.745 Pm
0.585 0.917 0.255 Pm
0.747 0.747 0.745 Pm
0.917 0.585 0.255 Pm
0.500 0.500 0.000 Dy
0.000 0.000 0.500 Er
0.334 0.666 0.500 Er
0.666 0.334 0.500 Er



No. 6
NaIn7Hg2 (GGA-PBE, relaxed); magnetic moment = 0.000 μB/f.u.; raw total energy = -20.7 eV per formula unit; E_form = 0.040 eV/atom
1.0
4.953 -8.900 0.000
4.953 8.900 0.000
0.000 0.000 3.301
Na In Hg
1 7 2
direct
0.000 0.000 0.000 Na
0.138 0.330 0.500 In
0.180 0.820 0.000 In
0.330 0.138 0.500 In
0.500 0.500 0.500 In
0.670 0.862 0.500 In
0.820 0.180 0.000 In
0.862 0.670 0.500 In
0.323 0.677 0.500 Hg
0.677 0.323 0.500 Hg



No. 7
LiRe2 (GGA-PBE, relaxed); magnetic moment = 0.000 μB/f.u.; raw total energy = -26.0 eV per formula unit; offset from the most stable computed form = 172.4 meV per atom; E_form = 0.269 eV/atom
1.0
3.125 0.000 0.000
0.000 3.125 0.000
0.000 0.000 8.525
Li Re
2 4
direct
0.000 0.000 0.000 Li
0.500 0.500 0.500 Li
0.000 0.000 0.328 Re
0.000 0.000 0.672 Re
0.500 0.500 0.172 Re
0.500 0.500 0.828 Re



No. 8
ZnCdRh (GGA-PBE, relaxed); magnetic moment = 0.000 μB/f.u.; raw total energy = -10.1 eV per formula unit; offset from the most stable computed form = 11.0 meV per atom; E_form = -0.192 eV/atom
1.0
3.102 0.000 0.000
0.000 3.102 0.000
0.000 0.000 21.539
Zn Cd Rh
4 4 4
direct
0.000 0.000 0.215 Zn
0.000 0.000 0.785 Zn
0.500 0.500 0.285 Zn
0.500 0.500 0.715 Zn
0.000 0.000 0.068 Cd
0.000 0.000 0.932 Cd
0.500 0.500 0.432 Cd
0.500 0.500 0.568 Cd
0.000 0.000 0.348 Rh
0.000 0.000 0.652 Rh
0.500 0.500 0.152 Rh
0.500 0.500 0.848 Rh



No. 9
Pu5CuRu6 (GGA-PBE, relaxed); magnetic moment = 20.400 μB/f.u.; raw total energy = -132.5 eV per formula unit; E_form = -0.091 eV/atom
1.0
4.119 -7.019 0.000
4.119 7.019 0.000
-2.506 0.000 3.807
Pu Cu Ru
5 1 6
direct
0.000 0.000 0.000 Pu
0.179 0.821 0.500 Pu
0.356 0.644 0.000 Pu
0.644 0.356 0.000 Pu
0.821 0.179 0.500 Pu
0.500 0.500 0.500 Cu
0.089 0.412 0.251 Ru
0.224 0.224 0.726 Ru
0.412 0.089 0.251 Ru
0.588 0.911 0.749 Ru
0.776 0.776 0.274 Ru
0.911 0.588 0.749 Ru



No. 10
RbGePtPb (GGA-PBE, relaxed); magnetic moment = 0.000 μB/f.u.; raw total energy = -16.7 eV per formula unit; E_form = -0.345 eV/atom
1.0
4.226 0.000 0.000
-2.113 3.660 0.000
0.000 0.000 23.029
Rb Ge Pt Pb
3 3 3 3
direct
0.000 0.000 0.000 Rb
0.333 0.667 0.667 Rb
0.667 0.333 0.333 Rb
0.000 0.000 0.444 Ge
0.333 0.667 0.111 Ge
0.667 0.333 0.777 Ge
0.000 0.000 0.799 Pt
0.333 0.667 0.466 Pt
0.667 0.333 0.132 Pt
0.000 0.000 0.204 Pb
0.333 0.667 0.871 Pb
0.667 0.333 0.537 Pb



No. 11
BaTiHg (GGA-PBE, relaxed); magnetic moment = 0.000 μB/f.u.; raw total energy = -9.9 eV per formula unit; offset from the most stable computed form = 54.4 meV per atom; E_form = 0.086 eV/atom
1.0
8.166 0.000 0.000
0.000 4.531 0.000
-2.579 0.000 11.391
Ba Ti Hg
4 4 4
direct
0.000 0.000 0.000 Ba
0.200 0.000 0.635 Ba
0.500 0.500 0.000 Ba
0.700 0.500 0.635 Ba
0.154 0.000 0.317 Ti
0.435 0.000 0.317 Ti
0.654 0.500 0.317 Ti
0.935 0.500 0.317 Ti
0.238 0.500 0.187 Hg
0.320 0.500 0.449 Hg
0.738 0.000 0.187 Hg
0.820 0.000 0.449 Hg



No. 12
Co6Ni8Rh (GGA-PBE, relaxed); magnetic moment = 17.647 μB/f.u.; raw total energy = -89.9 eV per formula unit; offset from the most stable computed form = 136.2 meV per atom; E_form = 0.425 eV/atom
1.0
2.902 1.675 6.493
-2.902 1.675 6.493
0.000 -3.351 6.493
Co Ni Rh
6 8 1
direct
0.198 0.669 0.333 Co
0.331 0.667 0.802 Co
0.333 0.198 0.669 Co
0.667 0.802 0.331 Co
0.669 0.333 0.198 Co
0.802 0.331 0.667 Co
0.063 0.585 0.770 Ni
0.230 0.937 0.415 Ni
0.297 0.297 0.297 Ni
0.415 0.230 0.937 Ni
0.585 0.770 0.063 Ni
0.703 0.703 0.703 Ni
0.770 0.063 0.585 Ni
0.937 0.415 0.230 Ni
0.000 0.000 0.000 Rh